Entry 1:
{
  "formula": "SrLu2Se4",
  "functional": "GGA-PBE",
  "state": "relaxed",
  "lattice": [[12.501, 0.000, 0.000], [0.000, 4.081, 0.000], [0.000, 0.000, 14.767]],
  "species": ["Lu", "Lu", "Lu", "Lu", "Lu", "Lu", "Lu", "Lu", "Se", "Se", "Se", "Se", "Se", "Se", "Se", "Se", "Se", "Se", "Se", "Se", "Se", "Se", "Se", "Se", "Sr", "Sr", "Sr", "Sr"],
  "fractional_positions": [[0.417, 0.250, 0.097], [0.061, 0.750, 0.111], [0.561, 0.750, 0.389], [0.917, 0.250, 0.403], [0.083, 0.750, 0.597], [0.439, 0.250, 0.611], [0.939, 0.250, 0.889], [0.583, 0.750, 0.903], [0.628, 0.250, 0.030], [0.910, 0.250, 0.076], [0.205, 0.250, 0.168], [0.472, 0.750, 0.215], [0.972, 0.750, 0.285], [0.705, 0.250, 0.332], [0.410, 0.250, 0.424], [0.128, 0.250, 0.470], [0.872, 0.750, 0.530], [0.590, 0.750, 0.576], [0.295, 0.750, 0.668], [0.028, 0.250, 0.715], [0.528, 0.250, 0.785], [0.795, 0.750, 0.832], [0.090, 0.750, 0.924], [0.372, 0.750, 0.970], [0.740, 0.750, 0.166], [0.240, 0.750, 0.334], [0.760, 0.250, 0.666], [0.260, 0.250, 0.834]],
  "energy_ev_per_cell": -152.87
}

=====

Entry 2:
{
  "formula": "HfReNi",
  "functional": "GGA-PBE",
  "state": "relaxed",
  "lattice": [[0.268, -1.505, 3.881], [1.041, 2.529, 3.150], [-2.853, 1.063, 2.851]],
  "species": ["Hf", "Ni", "Re"],
  "fractional_positions": [[0.250, 0.250, 0.250], [0.000, 0.000, 0.000], [0.750, 0.750, 0.750]],
  "e_form_ev_per_fu": 0.93,
  "e_above_lowest_polymorph_mev_per_atom": 0.0
}

=====

Entry 3:
{
  "formula": "PmAgSeO",
  "functional": "GGA-PBE",
  "state": "relaxed",
  "lattice": [[-4.529, 4.351, -0.604], [-1.189, -2.213, -7.026], [-3.487, -5.335, 2.271]],
  "species": ["Ag", "Ag", "Ag", "Ag", "O", "O", "O", "O", "Pm", "Pm", "Pm", "Pm", "Se", "Se", "Se", "Se"],
  "fractional_positions": [[0.080, 0.714, 0.006], [0.920, 0.214, 0.494], [0.080, 0.786, 0.506], [0.920, 0.286, 0.994], [0.548, 0.326, 0.090], [0.452, 0.826, 0.410], [0.548, 0.174, 0.590], [0.452, 0.674, 0.910], [0.601, 0.610, 0.234], [0.399, 0.110, 0.266], [0.601, 0.890, 0.734], [0.399, 0.390, 0.766], [0.840, 0.960, 0.187], [0.160, 0.460, 0.313], [0.840, 0.540, 0.687], [0.160, 0.040, 0.813]],
  "e_above_lowest_polymorph_mev_per_atom": 218.6
}

=====

Number 1: total magnetic moment 0.00 μB per formula unit. Number 2: total magnetic moment 0.70 μB per formula unit. Number 3: total magnetic moment 0.00 μB per formula unit.